Material: Ho5Tm4Sc
Method: DFT, PBE
State: relaxed

```
data_Ho5Tm4Sc
_chemical_formula_sum 'Ho10 Tm8 Sc2'
_symmetry_space_group_name_H-M 'I 4 m m'
_symmetry_Int_Tables_number 107
_symmetry_space_group_name_Hall 'I 4 -2'
_cell_length_a 10.4655
_cell_length_b 10.4655
_cell_length_c 5.6780
_cell_angle_alpha 90.00
_cell_angle_beta 90.00
_cell_angle_gamma 90.00
loop_
_atom_site_label
_atom_site_fract_x
_atom_site_fract_y
_atom_site_fract_z
Ho1 0.0000 0.0000 0.0000
Ho2 0.1869 0.1869 0.2826
Tm1 0.0000 0.3232 0.7738
Sc1 0.0000 0.0000 0.5321
```

Computed properties:
DFT formation energy in meV per atom: 249
Excess energy over the best structure of this formula in the dataset in eV/atom: 0.243